Ce6Sn2Au GGA-PBE optimized geometry; formation enthalpy at 0 K = -330 meV/atom; density of states at the Fermi level = 2.61 states/eV/atom
1.0
9.0269 0.0000 0.0000
-4.5134 7.8175 0.0000
0.0000 0.0000 3.1148
Ce Sn Au
6 2 1
direct
0.0000 0.3192 0.0000
0.0000 0.6808 0.0000
0.3192 0.0000 0.0000
0.3192 0.3192 0.0000
0.6808 0.0000 0.0000
0.6808 0.6808 0.0000
0.3333 0.6667 0.5000
0.6667 0.3333 0.5000
0.0000 0.0000 0.5000